[1]
# LaMnCr2 | the Alexandria database | SCAN | single point on PBEsol structure
# Calculated volume, A^3/atom: 15.687
# Formation energy from the elements, meV/atom: 427
# Distance to the lowest polymorph of the same formula, meV/atom: 0.0
data_LaMnCr2
_cell_length_a 6.308
_cell_length_b 6.308
_cell_length_c 6.308
_cell_angle_alpha 90.00
_cell_angle_beta 90.00
_cell_angle_gamma 90.00
_symmetry_space_group_name_H-M 'F -4 3 m'
_symmetry_Int_Tables_number 216
_symmetry_space_group_name_Hall 'F -4 2 3'
loop_
_atom_site_label
_atom_site_fract_x
_atom_site_fract_y
_atom_site_fract_z
La1 0.000 0.000 0.000
Mn1 0.250 0.250 0.250
Cr1 0.000 0.000 0.500
Cr2 0.250 0.250 0.750


[2]
# LaMn2Cr | the Alexandria database | SCAN | single point on PBEsol structure
# Calculated volume, A^3/atom: 17.627
# Formation energy from the elements, meV/atom: 378
data_LaMn2Cr
_cell_length_a 3.9084
_cell_length_b 3.9084
_cell_length_c 15.9894
_cell_angle_alpha 90.00
_cell_angle_beta 90.00
_cell_angle_gamma 120.00
_symmetry_space_group_name_H-M 'R 3 m'
_symmetry_Int_Tables_number 160
_symmetry_space_group_name_Hall 'R 3 -2"'
loop_
_atom_site_label
_atom_site_fract_x
_atom_site_fract_y
_atom_site_fract_z
La1 0.0000 0.0000 0.0000
Mn1 0.0000 0.0000 0.4915
Mn2 0.0000 0.0000 0.8134
Cr1 0.0000 0.0000 0.1958


[3]
# LaMn3Cr4O12 | the Alexandria database | SCAN | single point on PBEsol structure
# Calculated volume, A^3/atom: 9.967
# Formation energy from raw total energies, eV per atom: -2.63
data_LaMn3Cr4O12
_cell_length_a 7.360
_cell_length_b 7.360
_cell_length_c 7.360
_cell_angle_alpha 90.00
_cell_angle_beta 90.00
_cell_angle_gamma 90.00
_symmetry_space_group_name_H-M 'I m -3'
_symmetry_Int_Tables_number 204
_symmetry_space_group_name_Hall '-I 2 2 3'
loop_
_atom_site_label
_atom_site_fract_x
_atom_site_fract_y
_atom_site_fract_z
La1 0.000 0.000 0.000
Mn1 0.000 0.000 0.500
Cr1 0.250 0.250 0.250
O1 0.000 0.308 0.177


[4]
# Sr3LaMnCrO8 | the Alexandria database | SCAN | single point on PBEsol structure
# Calculated volume, A^3/atom: 12.828
# Formation energy from raw total energies, eV per atom: -3.04
data_Sr3LaMnCrO8
_cell_length_a 5.388
_cell_length_b 5.393
_cell_length_c 12.363
_cell_angle_alpha 90.00
_cell_angle_beta 90.00
_cell_angle_gamma 90.00
_symmetry_space_group_name_H-M 'A m m 2'
_symmetry_Int_Tables_number 38
_symmetry_space_group_name_Hall 'A 2 -2'
loop_
_atom_site_label
_atom_site_fract_x
_atom_site_fract_y
_atom_site_fract_z
Sr1 0.000 0.000 0.000
Sr2 0.000 0.000 0.285
Sr3 0.500 0.000 0.497
La1 0.500 0.000 0.782
Mn1 0.000 0.000 0.639
Cr1 0.500 0.000 0.137
O1 0.000 0.000 0.486
O2 0.000 0.000 0.801
O3 0.251 0.243 0.645
O4 0.500 0.000 0.301
O5 0.500 0.000 0.975


[5]
# La2CrMoO6 | the Alexandria database | SCAN | single point on PBEsol structure
# Calculated volume, A^3/atom: 11.948
# Formation energy from raw total energies, eV per atom: -3.02
data_La2CrMoO6
_cell_length_a 5.497
_cell_length_b 5.497
_cell_length_c 7.908
_cell_angle_alpha 90.00
_cell_angle_beta 90.00
_cell_angle_gamma 90.00
_symmetry_space_group_name_H-M 'I 4/m'
_symmetry_Int_Tables_number 87
_symmetry_space_group_name_Hall '-I 4'
loop_
_atom_site_label
_atom_site_fract_x
_atom_site_fract_y
_atom_site_fract_z
La1 0.000 0.500 0.250
Cr1 0.000 0.000 0.000
Mo1 0.000 0.000 0.500
O1 0.000 0.000 0.244
O2 0.185 0.303 0.000


[6]
# LaCrSN2 | the Alexandria database | SCAN | single point on PBEsol structure
# Calculated volume, A^3/atom: 19.311
# Formation energy from raw total energies, eV per atom: 0.61
# Distance to the lowest polymorph of the same formula, meV/atom: 1442.0
data_LaCrSN2
_cell_length_a 4.043
_cell_length_b 4.043
_cell_length_c 5.907
_cell_angle_alpha 90.00
_cell_angle_beta 90.00
_cell_angle_gamma 90.00
_symmetry_space_group_name_H-M 'P 4/m m m'
_symmetry_Int_Tables_number 123
_symmetry_space_group_name_Hall '-P 4 2'
loop_
_atom_site_label
_atom_site_fract_x
_atom_site_fract_y
_atom_site_fract_z
La1 0.000 0.000 0.000
Cr1 0.500 0.500 0.500
S1 0.000 0.000 0.500
N1 0.000 0.500 0.000


[7]
# LaCrSN2 | the Alexandria database | SCAN | single point on PBEsol structure
# Calculated volume, A^3/atom: 13.581
# Formation energy from raw total energies, eV per atom: -0.83
# Distance to the lowest polymorph of the same formula, meV/atom: 0.0
data_LaCrSN2
_cell_length_a 3.860
_cell_length_b 3.860
_cell_length_c 4.558
_cell_angle_alpha 90.00
_cell_angle_beta 90.00
_cell_angle_gamma 90.00
_symmetry_space_group_name_H-M 'P 4/m m m'
_symmetry_Int_Tables_number 123
_symmetry_space_group_name_Hall '-P 4 2'
loop_
_atom_site_label
_atom_site_fract_x
_atom_site_fract_y
_atom_site_fract_z
La1 0.000 0.000 0.000
Cr1 0.500 0.500 0.500
S1 0.500 0.500 0.000
N1 0.000 0.500 0.500


[8]
# LaCrSb2N | the Alexandria database | SCAN | single point on PBEsol structure
# Calculated volume, A^3/atom: 21.627
# Formation energy from raw total energies, eV per atom: -0.36
data_LaCrSb2N
_cell_length_a 5.512
_cell_length_b 5.512
_cell_length_c 3.559
_cell_angle_alpha 90.00
_cell_angle_beta 90.00
_cell_angle_gamma 90.00
_symmetry_space_group_name_H-M 'P 4/m m m'
_symmetry_Int_Tables_number 123
_symmetry_space_group_name_Hall '-P 4 2'
loop_
_atom_site_label
_atom_site_fract_x
_atom_site_fract_y
_atom_site_fract_z
La1 0.000 0.000 0.000
Cr1 0.500 0.500 0.500
Sb1 0.000 0.500 0.500
N1 0.500 0.500 0.000